Below is crystalline PuCuPt at its relaxed geometry, with properties calculated at the PBE level.

a = 4.4293 Å, b = 4.4293 Å, c = 4.4293 Å
α = 60.00°, β = 60.00°, γ = 60.00°
Element x y z (fractional)
Cu (0.0000, 0.0000, 0.0000)
Pt (0.2500, 0.2500, 0.2500)
Pu (0.7500, 0.7500, 0.7500)

Calculated values
Magnetization   5.31 μB per cell
Volume   20.48 A^3/atom

=====

Below is crystalline RbCuPt at its relaxed geometry, with properties calculated at the PBE level.

a = 4.9307 Å, b = 4.9307 Å, c = 4.9307 Å
α = 60.00°, β = 60.00°, γ = 60.00°
Element x y z (fractional)
Cu (0.2500, 0.2500, 0.2500)
Pt (0.7500, 0.7500, 0.7500)
Rb (0.0000, 0.0000, 0.0000)

Calculated values
Magnetization   0.00 μB per cell
Volume   28.25 A^3/atom

=====

Summary of relative energy among the computed polymorphs in meV/atom
0.0 646.5
(order as listed above)